# 1
Computed, not measured: a relaxed Mg2Se crystal at the PBE level of DFT.

Unit cell a=8.0609 b=8.0609 c=4.4919 alpha=90.00 beta=90.00 gamma=152.34
Fractional positions:
Mg1 0.0000 0.0000 0.0000
Mg2 0.5000 0.5000 0.5000
Mg3 0.8301 0.1699 0.5000
Mg4 0.1699 0.8301 0.5000
Se1 0.3770 0.6230 0.0000
Se2 0.6230 0.3770 0.0000

Summary:
DFT total energy = -2.703 eV/atom
Magnetization = 0.00 μB/f.u.
Space-group type = No. 65

---

# 2
Computed, not measured: a relaxed Mg2Se crystal at the PBE level of DFT.

Unit cell a=4.7713 b=4.7713 c=4.7713 alpha=60.00 beta=60.00 gamma=60.00
Fractional positions:
Se1 0.0000 0.0000 0.0000
Mg1 0.2500 0.2500 0.2500
Mg2 0.7500 0.7500 0.7500

Summary:
DFT total energy = -2.503 eV/atom
Magnetization = 0.00 μB/f.u.
Space-group type = No. 225

---

# 3
Computed, not measured: a relaxed MgSe2 crystal at the PBE level of DFT.

Unit cell a=7.1669 b=7.1669 c=5.1378 alpha=90.00 beta=90.00 gamma=120.00
Fractional positions:
Mg1 0.3333 0.6667 0.5000
Mg2 0.0000 0.0000 0.0000
Mg3 0.6667 0.3333 0.5000
Se1 0.6002 0.6002 0.1934
Se2 0.0000 0.6002 0.8066
Se3 0.6002 0.0000 0.8066
Se4 0.3998 0.0000 0.1934
Se5 0.0000 0.3998 0.1934
Se6 0.3998 0.3998 0.8066

Summary:
DFT total energy = -3.393 eV/atom
Magnetization = 0.00 μB/f.u.
Space-group type = No. 162

---

# 4
Computed, not measured: a relaxed Mg2Se crystal at the PBE level of DFT.

Unit cell a=10.2371 b=10.2371 c=3.7609 alpha=90.00 beta=90.00 gamma=159.28
Fractional positions:
Se1 0.0966 0.9034 0.7500
Se2 0.9034 0.0966 0.2500
Mg1 0.2924 0.7076 0.2500
Mg2 0.4332 0.5668 0.7500
Mg3 0.7076 0.2924 0.7500
Mg4 0.5668 0.4332 0.2500

Summary:
DFT total energy = -2.764 eV/atom
Magnetization = 0.00 μB/f.u.
Space-group type = No. 63